Compound: AlPIrCl2
Source: Alexandria
Functional: PBE
Structure: relaxed

Cell: 5.156 5.156 4.420 Å, 90.00 90.00 90.00°
Sites, in units of the cell vectors:
Cl  0.000  0.500  0.000
P  0.000  0.000  0.500
Cl  0.500  0.000  0.000
Ir  0.000  0.000  0.000
Al  0.500  0.500  0.500

Values from the calculation:
Formation energy (no corrections) = 215 meV per atom
Space group = P4/mmm (123)
Total magnetic moment = 0.0 μB/f.u.

---

Compound: Li2CeCd2Hg2
Source: Alexandria
Functional: PBE
Structure: relaxed

Cell: 4.945 4.945 7.997 Å, 71.99 71.99 60.00°
Sites, in units of the cell vectors:
Li  0.857  0.857  0.428
Li  0.143  0.143  0.572
Cd  0.736  0.736  0.793
Hg  0.421  0.421  0.738
Hg  0.579  0.579  0.262
Cd  0.264  0.264  0.207
Ce  0.000  0.000  0.000

Values from the calculation:
Energy of formation = -219 meV/atom
Space group = R-3m (166)
Total magnetic moment = 1.0 μB/f.u.

---

Compound: Nd4MgTl
Source: Alexandria
Functional: PBE
Structure: relaxed

Cell: 3.521 9.702 5.791 Å, 90.00 90.00 90.00°
Sites, in units of the cell vectors:
Tl  0.000  0.000  0.000
Nd  0.500  0.699  0.000
Mg  0.500  0.500  0.500
Nd  0.500  0.301  0.000
Nd  0.000  0.194  0.500
Nd  0.000  0.806  0.500

Values from the calculation:
Energy of formation = 48 meV/atom
Space group = Pmmm (47)
Total magnetic moment = 0.0 μB/f.u.

---

Compound: AcHoH6Ru2
Source: Alexandria
Functional: PBE
Structure: relaxed

Cell: 4.906 4.906 6.211 Å, 66.74 66.74 60.00°
Sites, in units of the cell vectors:
Ho  0.500  0.500  0.500
H  0.579  0.036  0.807
Ac  0.000  0.000  0.000
H  0.964  0.421  0.193
Ru  0.797  0.797  0.609
Ru  0.203  0.203  0.391
H  0.421  0.421  0.193
H  0.036  0.579  0.807
H  0.579  0.579  0.807
H  0.421  0.964  0.193

Values from the calculation:
Space group = R-3m (166)
Total magnetic moment = 0.0 μB/f.u.

---

Compound: Pr3NO
Source: Alexandria
Functional: PBE
Structure: relaxed

Cell: 7.516 7.516 7.516 Å, 90.00 90.00 90.00°
Sites, in units of the cell vectors:
O  0.336  0.664  0.164
Pr  0.126  0.001  0.743
O  0.164  0.336  0.664
O  0.836  0.836  0.836
Pr  0.001  0.743  0.126
N  0.572  0.572  0.572
Pr  0.257  0.626  0.499
Pr  0.501  0.757  0.874
Pr  0.874  0.501  0.757
Pr  0.757  0.874  0.501
N  0.072  0.928  0.428
O  0.664  0.164  0.336
Pr  0.743  0.126  0.001
N  0.928  0.428  0.072
Pr  0.626  0.499  0.257
Pr  0.499  0.257  0.626
Pr  0.999  0.243  0.374
N  0.428  0.072  0.928
Pr  0.374  0.999  0.243
Pr  0.243  0.374  0.999

Values from the calculation:
Formation energy (no corrections) = -1410 meV per atom
Space group = P2_13 (198)
Total magnetic moment = 0.0 μB/f.u.

---

Compound: PmPr3Ni8
Source: Alexandria
Functional: PBE
Structure: relaxed

Cell: 5.186 5.186 8.996 Å, 73.25 73.25 60.00°
Sites, in units of the cell vectors:
Pm  0.875  0.875  0.375
Ni  0.687  0.687  0.938
Ni  0.937  0.439  0.686
Ni  0.437  0.437  0.189
Ni  0.437  0.937  0.189
Pr  0.000  0.000  0.001
Ni  0.937  0.937  0.686
Ni  0.188  0.188  0.437
Ni  0.439  0.937  0.686
Ni  0.937  0.437  0.189
Pr  0.500  0.500  0.499
Pr  0.375  0.375  0.875

Values from the calculation:
Energy of formation = -293 meV/atom
Space group = R3m (160)
Total magnetic moment = 0.0 μB/f.u.

---

Compound: Pr3SnSe2
Source: Alexandria
Functional: PBE
Structure: relaxed

Cell: 4.396 6.192 7.565 Å, 114.16 106.88 90.00°
Sites, in units of the cell vectors:
Pr  0.500  0.500  0.000
Pr  0.172  0.172  0.344
Se  0.165  0.664  0.329
Sn  0.500  0.000  0.000
Pr  0.828  0.828  0.656
Se  0.835  0.336  0.671

Values from the calculation:
Formation energy (no corrections) = -1501 meV per atom
Space group = Immm (71)
Total magnetic moment = 0.0 μB/f.u.

---

Compound: KFe2Te
Source: Alexandria
Functional: PBE
Structure: relaxed

Cell: 4.870 4.870 4.870 Å, 119.75 119.75 90.43°
Sites, in units of the cell vectors:
Te  0.750  0.250  0.500
Fe  0.000  0.000  0.000
K  0.500  0.500  0.000
Fe  0.250  0.750  0.500

Values from the calculation:
Formation energy (no corrections) = 823 meV per atom
Space group = I-4m2 (119)
Total magnetic moment = 5.6 μB/f.u.

---

Compound: Ce3Ga2Fe2N3
Source: Alexandria
Functional: PBE
Structure: relaxed

Cell: 3.632 3.632 12.072 Å, 98.65 98.65 90.00°
Sites, in units of the cell vectors:
Ce  0.000  0.000  0.000
N  0.500  0.500  0.000
Ce  0.609  0.609  0.219
Fe  0.823  0.823  0.646
Fe  0.177  0.177  0.354
Ga  0.750  0.250  0.500
Ga  0.250  0.750  0.500
N  0.901  0.901  0.802
N  0.099  0.099  0.198
Ce  0.391  0.391  0.781

Values from the calculation:
Formation energy (no corrections) = -839 meV per atom
Space group = I4/mmm (139)
Total magnetic moment = 1.7 μB/f.u.

---

Compound: CrTcHg
Source: Alexandria
Functional: PBE
Structure: relaxed

Cell: 5.754 5.754 5.754 Å, 149.62 149.62 43.51°
Sites, in units of the cell vectors:
Hg  0.337  0.337  0.000
Cr  0.023  0.023  0.000
Tc  0.640  0.640  0.000

Values from the calculation:
Energy of formation = 361 meV/atom
Space group = I4mm (107)
Total magnetic moment = 1.1 μB/f.u.

---

Compound: Sm12YSc2
Source: Alexandria
Functional: PBE
Structure: relaxed

Cell: 6.629 6.629 25.372 Å, 84.95 95.05 63.11°
Sites, in units of the cell vectors:
Sm  0.408  0.092  0.441
Sm  0.156  0.867  0.557
Sm  0.563  0.379  0.070
Sm  0.937  0.121  0.930
Sm  0.468  0.465  0.327
Sm  0.344  0.633  0.443
Sm  0.072  0.857  0.799
Sm  0.035  0.032  0.327
Sm  0.379  0.563  0.930
Sm  0.633  0.344  0.557
Sm  0.032  0.035  0.673
Sm  0.465  0.468  0.673
Sm  0.273  0.227  0.837
Sm  0.852  0.648  0.394
Y  0.492  0.008  0.984
Sm  0.121  0.937  0.070
Sm  0.722  0.778  0.119
Sc  0.959  0.541  0.263
Sm  0.643  0.428  0.799
Sm  0.227  0.273  0.163
Sm  0.778  0.722  0.881
Y  0.008  0.492  0.016
Sm  0.092  0.408  0.559
Sc  0.002  0.498  0.715
Sc  0.498  0.002  0.285
Sm  0.428  0.643  0.201
Sm  0.648  0.852  0.606
Sm  0.867  0.156  0.443
Sc  0.541  0.959  0.737
Sm  0.857  0.072  0.201

Values from the calculation:
Energy of formation = 124 meV/atom
Space group = C2/m (12)
Total magnetic moment = 0.0 μB/f.u.

---

Compound: Nd5Sm3Ho
Source: Alexandria
Functional: PBE
Structure: relaxed

Cell: 9.503 9.503 12.577 Å, 53.99 53.99 50.58°
Sites, in units of the cell vectors:
Nd  0.375  0.375  0.560
Nd  0.739  0.739  0.873
Nd  0.354  0.774  0.217
Nd  0.327  0.673  0.000
Nd  0.226  0.646  0.783
Sm  0.000  0.000  0.500
Nd  0.673  0.327  0.000
Sm  0.793  0.793  0.086
Sm  0.682  0.682  0.656
Sm  0.207  0.207  0.914
Sm  0.318  0.318  0.344
Nd  0.774  0.354  0.217
Ho  0.882  0.882  0.321
Sm  0.000  0.000  0.000
Nd  0.646  0.226  0.783
Nd  0.625  0.625  0.440
Ho  0.118  0.118  0.679
Nd  0.261  0.261  0.127

Values from the calculation:
Energy of formation = 398 meV/atom
Space group = C2/m (12)
Total magnetic moment = 0.1 μB/f.u.

---

For each record above, in turn, the calculated raw total energy values are -4.13, -1.96, -3.79, -5.11, -6.93, -5.74, -5.72, -4.47, -7.41, -6.40, -4.93, -4.33 eV per atom.
For each record above, in turn, the calculated ρ values are 4.54, 8.19, 6.76, 8.65, 7.08, 8.72, 6.52, 5.64, 7.61, 11.98, 6.72, 6.66 g/cm3.
For each record above, in turn, the calculated volume values are 117.5, 158.2, 197.8, 115.2, 424.6, 197.6, 178.1, 82.0, 155.6, 48.6, 980.4, 666.6 Å³ per cell.